Compound: CaInPt2O
Source: the Alexandria database
Functional: PBEsol
Structure: relaxed

a b c (Å): 4.469 4.469 4.443
angles (deg): 90.00 90.00 90.00
Element x y z (fractional)
Ca 0.000 0.000 0.000
In 0.500 0.500 0.000
Pt 0.000 0.500 0.500
Pt 0.500 0.000 0.500
O 0.500 0.500 0.500

* E: -25.48 eV/cell
* theoretical density: 10.50 g/cm3
* formation energy from raw total energies: -0.24 eV/atom
* symmetry: No. 123

***

Compound: CaIn2Os
Source: the Alexandria database
Functional: PBEsol
Structure: relaxed

a b c (Å): 9.436 9.436 9.436
angles (deg): 20.06 20.06 20.06
Element x y z (fractional)
Ca 0.000 0.000 0.000
In 0.238 0.238 0.238
In 0.762 0.762 0.762
Os 0.500 0.500 0.500

* E: -19.08 eV/cell
* ΔH_f (0 K): 0.31 eV/atom
* theoretical density: 8.83 g/cm3
* symmetry: No. 166

***

Compound: CaIn2Os
Source: the Alexandria database
Functional: PBEsol
Structure: relaxed

a b c (Å): 7.335 7.335 7.335
angles (deg): 155.24 145.06 43.30
Element x y z (fractional)
Ca 0.000 0.000 0.000
In 0.351 0.351 0.000
In 0.679 0.179 0.500
Os 0.185 0.685 0.500

* E: -19.78 eV/cell
* ΔH_f (0 K): 0.13 eV/atom
* theoretical density: 8.09 g/cm3
* symmetry: No. 44

***

Compound: CaInOs2
Source: the Alexandria database
Functional: PBEsol
Structure: relaxed

a b c (Å): 5.455 5.455 5.455
angles (deg): 146.85 127.14 63.83
Element x y z (fractional)
Ca 0.000 0.000 0.000
In 0.500 0.500 0.000
Os 0.262 0.762 0.500
Os 0.738 0.238 0.500

* E: -26.74 eV/cell
* ΔH_f (0 K): 0.70 eV/atom
* theoretical density: 12.70 g/cm3
* symmetry: No. 71